GdSi4Ir3 | OQMD via LeMat-Bulk | PBE-GGA | optimized geometry; raw total energy = -7.202 eV/atom
1.0
5.323 0.000 0.000
0.000 3.736 0.000
-1.494 0.000 6.529
Gd Ir Si
1 3 4
Direct
0.285 0.000 0.780
0.624 0.500 0.150
0.128 0.000 0.309
0.786 0.500 0.754
0.155 0.500 0.078
0.427 0.500 0.452
0.790 0.000 0.485
0.805 0.000 0.993

---

GdSi2Ir | OQMD via LeMat-Bulk | PBE-GGA | optimized geometry; raw total energy = -6.807 eV/atom
1.0
4.074 0.000 0.000
0.000 6.259 0.000
0.000 0.000 5.488
Gd Ir Si
2 2 4
Direct
0.000 0.917 0.364
0.500 0.083 0.864
0.000 0.409 0.126
0.500 0.591 0.626
0.500 0.637 0.153
0.500 0.269 0.358
0.000 0.363 0.653
0.000 0.731 0.858

---

Gd3Si4Ir | OQMD via LeMat-Bulk | PBE-GGA | optimized geometry; raw total energy = -6.254 eV/atom
1.0
-2.532 4.363 2.712
-1.307 -2.452 2.725
6.527 0.325 3.422
Gd Ir Si
3 1 4
Direct
0.824 0.500 0.296
0.131 0.000 0.669
0.640 0.500 0.823
0.317 0.000 0.229
0.199 0.500 0.001
0.939 0.000 0.025
0.339 0.500 0.435
0.610 0.000 0.522

---

GdSiIr | OQMD via LeMat-Bulk | PBE-GGA | optimized geometry; raw total energy = -6.827 eV/atom
1.0
-1.394 2.783 3.234
-3.435 2.788 -0.764
-3.950 -0.700 2.015
Gd Ir Si
1 1 1
Direct
0.000 0.000 0.000
0.250 0.250 0.250
0.500 0.500 0.500